(1)
A relaxed structure of Th2GaGe4Ir3, computed with PBE.

Computed properties:
**Magnetization**: 0.00 Bohr magnetons per cell
**Space-group type**: P-4m2 (115)
**Formation energy**: -0.709 eV per atom
**Calculated volume**: 190 Å³/cell
**Raw total energy**: -7.001 eV per atom

```
Th2GaGe4Ir3
1.0
4.322 0.000 0.000
0.000 4.322 0.000
0.000 0.000 10.183
Th Ga Ge Ir
2 1 4 3
Cartesian
0.000 2.161 2.512
2.161 0.000 7.671
0.000 0.000 5.092
0.000 0.000 0.000
0.000 2.161 6.494
2.161 0.000 3.689
2.161 2.161 0.000
0.000 2.161 8.923
2.161 0.000 1.260
2.161 2.161 5.092
```

(2)
A relaxed structure of TlGa2GeIr, computed with PBE.

Computed properties:
**Magnetization**: 0.00 Bohr magnetons per cell
**Space-group type**: P4/mmm (123)
**Formation energy**: -0.025 eV per atom
**Calculated volume**: 116 Å³/cell
**Raw total energy**: -4.405 eV per atom

```
TlGa2GeIr
1.0
4.893 0.000 0.000
0.000 4.893 0.000
0.000 0.000 4.837
Tl Ga Ge Ir
1 2 1 1
Cartesian
0.000 0.000 0.000
0.000 2.446 2.419
2.446 0.000 2.419
2.446 2.446 0.000
2.446 2.446 2.419
```

(3)
A relaxed structure of Tm2GaGe3Ir4, computed with PBE.

Computed properties:
**Magnetization**: 0.00 Bohr magnetons per cell
**Space-group type**: P-4m2 (115)
**Formation energy**: -0.737 eV per atom
**Calculated volume**: 179 Å³/cell
**Raw total energy**: -6.864 eV per atom

```
Tm2GaGe3Ir4
1.0
4.156 0.000 0.000
0.000 4.156 0.000
0.000 0.000 10.365
Tm Ga Ge Ir
2 1 3 4
Cartesian
0.000 2.078 2.562
2.078 0.000 7.803
0.000 0.000 5.182
0.000 2.078 8.994
2.078 0.000 1.371
2.078 2.078 5.182
0.000 0.000 0.000
0.000 2.078 6.591
2.078 0.000 3.774
2.078 2.078 0.000
```

(4)
A relaxed structure of U2GaGe3Ir4, computed with PBE.

Computed properties:
**Magnetization**: 4.14 Bohr magnetons per cell
**Space-group type**: P-4m2 (115)
**Formation energy**: -0.476 eV per atom
**Calculated volume**: 180 Å³/cell
**Raw total energy**: -7.966 eV per atom

```
U2GaGe3Ir4
1.0
4.145 0.000 0.000
0.000 4.145 0.000
0.000 0.000 10.482
U Ga Ge Ir
2 1 3 4
Cartesian
0.000 2.073 2.560
2.073 0.000 7.921
2.073 2.073 0.000
0.000 0.000 0.000
0.000 2.073 6.608
2.073 0.000 3.874
0.000 0.000 5.241
0.000 2.073 9.014
2.073 0.000 1.467
2.073 2.073 5.241
```

Question: Look up the raw total energy of the third one.
Answer: -6.864 eV per atom